w.
! LaP2SeO (PBE, optimized geometry); values from VASP
&SYSTEM
  ibrav = 0, nat = 5, ntyp = 4
/
ATOMIC_SPECIES
Se 78.96 Se.upf
O 16.00 O.upf
P 30.97 P.upf
La 138.91 La.upf
ATOMIC_POSITIONS crystal
Se 0.0000 0.0000 0.0000
O 0.0000 0.5000 0.0000
P 0.5000 0.0000 0.0000
P 0.0000 0.0000 0.5000
La 0.5000 0.5000 0.5000
CELL_PARAMETERS angstrom
-1.6158 4.5319 0.1886
-2.3960 -0.7161 -3.3197
-3.5873 -1.3993 2.8910
! Mass density (g cm⁻³): 5.1
! Calculated volume (Å³ per cell): 96
! Spin magnetization (μB/f.u.): 0.00
! Density of states at the Fermi level (states/eV/cell): 2.5



x.
! LaP2SeO (PBE, optimized geometry); values from VASP
&SYSTEM
  ibrav = 0, nat = 5, ntyp = 4
/
ATOMIC_SPECIES
P 30.97 P.upf
Se 78.96 Se.upf
O 16.00 O.upf
La 138.91 La.upf
ATOMIC_POSITIONS crystal
P 0.0000 0.5000 0.0000
Se 0.5000 0.5000 0.5000
O 0.0000 0.0000 0.5000
P 0.5000 0.0000 0.0000
La 0.0000 0.0000 0.0000
CELL_PARAMETERS angstrom
-4.9781 -2.7518 -0.6820
2.6874 -5.0192 0.6362
-0.6576 0.1696 4.1159
! Mass density (g cm⁻³): 3.6
! Calculated volume (Å³ per cell): 137
! Spin magnetization (μB/f.u.): 0.00
! Density of states at the Fermi level (states/eV/cell): 3.9



Stability check: which of them is least stable? x.